(1)
First-principles (PBE-GGA) data for a relaxed SrPd3Se crystal, as listed in Alexandria via LeMat-Bulk.

abc: 4.827 4.827 4.827
angles: 90.00 90.00 90.00
Space group Pm-3m (No. 221)
Symmetry-distinct sites (fractional):
Sr (0.000, 0.000, 0.000) x1
Pd (0.000, 0.500, 0.500) x3
Se (0.500, 0.500, 0.500) x1

Summary:
crystal system: cubic
energy relative to the elements, uncorrected: -50.6 kJ/mol of atoms
size of the total moment: 0.0 μB per cell

(2)
First-principles (PBE-GGA) data for a relaxed TaTi2Cu6 crystal, as listed in Alexandria via LeMat-Bulk.

abc: 7.3871 7.3871 2.5829
angles: 90.00 90.00 120.00
Space group P6/mmm (No. 191)
Symmetry-distinct sites (fractional):
Ta (0.0000, 0.0000, 0.0000) x1
Ti (0.3333, 0.6667, 0.0000) x2
Cu (0.0000, 0.3345, 0.5000) x6

Summary:
crystal system: hexagonal
DFT formation energy: -0.0667 eV/atom
size of the total moment: 0.0 μB per cell

(3)
First-principles (PBE-GGA) data for a relaxed Ac2Er2Mg15 crystal, as listed in Alexandria via LeMat-Bulk.

abc: 10.6673 10.6673 15.4571
angles: 90.00 90.00 120.00
Space group R-3m (No. 166, hexagonal axes)
Symmetry-distinct sites (fractional):
Ac (0.0000, 0.0000, 0.1631) x6
Er (0.0000, 0.0000, 0.3999) x6
Mg (0.0000, 0.2909, 0.5000) x18
Mg (0.0000, 0.5000, 0.0000) x9
Mg (0.0041, 0.5020, 0.6478) x18

Summary:
crystal system: trigonal
DFT formation energy: -0.0396 eV/atom
size of the total moment: 0.0 μB per cell

(4)
First-principles (PBE-GGA) data for a relaxed Mo2RhW crystal, as listed in Alexandria via LeMat-Bulk.

abc: 9.345 2.732 4.945
angles: 90.00 98.96 90.00
Space group Cm (No. 8)
Symmetry-distinct sites (fractional):
Mo (0.000, 0.000, 0.000) x2
Mo (0.239, 0.000, 0.746) x2
Rh (0.240, 0.500, 0.246) x2
W (0.480, 0.000, 0.486) x2

Summary:
crystal system: monoclinic
DFT formation energy: 0.0894 eV/atom
size of the total moment: 0.0 μB per cell